No. 1
Density functional theory data (PBE) for a relaxed structure of CsHg2Se2.

- Symmetry: C2/c
- Energy relative to the lowest polymorph listed for this composition: 0 meV per atom
- VASP energy: -21.43 eV per cell
- ΔE_f (raw): -0.458 eV per atom

a = 7.7936 Å, b = 7.7936 Å, c = 7.6457 Å
α = 111.45°, β = 111.45°, γ = 106.07°
Atoms (fractional coordinates):
Se 0.5666 0.9334 0.7500
Se 0.4334 0.0666 0.2500
Se 0.1837 0.3163 0.7500
Se 0.8163 0.6837 0.2500
Hg 0.7693 0.0208 0.5367
Hg 0.5208 0.2693 0.0367
Hg 0.2307 0.9792 0.4633
Hg 0.4792 0.7307 0.9633
Cs 0.1255 0.3745 0.2500
Cs 0.8745 0.6255 0.7500



No. 2
Density functional theory data (PBE) for a relaxed structure of KHgOs2.

- Symmetry: Cm
- VASP energy: -21.12 eV per cell
- Formation energy: 2.7 eV/f.u.

a = 4.3232 Å, b = 4.3232 Å, c = 8.2976 Å
α = 84.95°, β = 84.95°, γ = 37.27°
Atoms (fractional coordinates):
Hg 0.4763 0.4763 0.5495
K 0.2473 0.2473 0.2240
Os 0.7612 0.7612 0.8068
Os 0.0152 0.0152 0.9196



No. 3
Density functional theory data (PBE) for a relaxed structure of GeS5Cl.

- Symmetry: P1
- VASP energy: -27.82 eV per cell
- ΔE_f (raw): -0.103 eV per atom

a = 5.0262 Å, b = 4.3703 Å, c = 13.2729 Å
α = 122.05°, β = 111.71°, γ = 79.82°
Atoms (fractional coordinates):
S 0.1143 0.4781 0.0713
S 0.2330 0.4835 0.7947
S 0.4637 0.1012 0.6935
S 0.2441 0.0070 0.2093
S 0.9313 0.3066 0.1495
Cl 0.7940 0.7956 0.4958
Ge 0.7502 0.3589 0.6473



Number 1: magnetic moment 0.000 μB per atom. Number 2: magnetic moment 0.000 μB per atom. Number 3: magnetic moment 0.000 μB per atom.